Crystalline KReO2F at its relaxed geometry. Source: the Alexandria database, functional PBE.

The structure in POSCAR format:
```
KReO2F
1.0
3.860 0.000 0.000
0.000 3.860 0.000
0.000 0.000 4.646
K Re O F
1 1 2 1
Cartesian
0.000 0.000 0.000
1.930 1.930 2.323
0.000 1.930 2.323
1.930 0.000 2.323
1.930 1.930 0.000
```

Computed properties:
The uncorrected formation energy comes out at -1690 meV per atom. The density of states at the Fermi level comes out at 0.798 states/eV per cell. The calculation puts the magnetic moment at 0.000 μB/atom. For the calculated volume, the calculation gives 69.2 Å³/cell. The space-group type is No. 123.

Crystalline KRe2O4F7 at its relaxed geometry. Source: the Alexandria database, functional PBE.

The structure in POSCAR format:
```
KRe2O4F7
1.0
5.657 0.000 0.000
0.000 5.330 0.000
-4.462 0.000 15.422
K Re O F
2 4 8 14
Cartesian
-1.116 1.050 3.856
-3.347 4.280 11.567
-0.612 1.359 9.479
1.619 3.971 1.768
-0.424 1.359 13.654
1.807 3.971 5.943
-0.830 1.935 7.889
1.401 3.394 0.178
-1.901 0.478 13.768
0.330 4.851 6.057
0.865 0.478 9.366
3.096 4.851 1.655
-0.206 1.935 15.244
2.025 3.394 7.533
-2.232 2.118 10.276
-0.001 3.212 2.565
0.521 0.179 1.641
-1.710 5.150 9.353
1.006 2.413 5.226
-1.225 2.917 12.937
-0.518 0.689 11.567
1.713 4.641 3.856
2.420 2.413 2.485
0.189 2.917 10.196
2.906 0.179 6.070
0.675 5.150 13.781
1.197 2.118 12.858
3.428 3.212 5.146
```

Computed properties:
The uncorrected formation energy comes out at -2141 meV per atom. The density of states at the Fermi level comes out at 0.000 states/eV per cell. The calculation puts the magnetic moment at 0.000 μB/atom. For the calculated volume, the calculation gives 465.0 Å³/cell. The space-group type is No. 13.

Crystalline K2ReO2F4 at its relaxed geometry. Source: the Alexandria database, functional PBE.

The structure in POSCAR format:
```
K2ReO2F4
1.0
5.087 -2.976 0.000
5.087 2.976 0.000
-0.269 0.000 4.800
K Re O F
2 1 2 4
Cartesian
1.630 0.000 1.488
8.275 0.000 3.312
5.087 0.000 0.000
3.419 0.000 3.679
6.486 0.000 1.121
4.213 1.447 1.038
5.692 1.447 3.762
4.213 -1.447 1.038
5.692 -1.447 3.762
```

Computed properties:
The uncorrected formation energy comes out at -2277 meV per atom. The calculation puts the magnetic moment at 0.111 μB/atom. For the calculated volume, the calculation gives 145.3 Å³/cell. The space-group type is No. 12.

Crystalline KReO2F at its relaxed geometry. Source: the Alexandria database, functional PBE.

The structure in POSCAR format:
```
KReO2F
1.0
4.517 0.000 0.000
0.000 4.517 0.000
0.000 0.000 4.481
K Re O F
1 1 2 1
Cartesian
0.000 0.000 0.000
2.259 2.259 2.240
0.000 2.259 0.000
2.259 0.000 0.000
0.000 0.000 2.240
```

Computed properties:
The uncorrected formation energy comes out at 1077 meV per atom. The density of states at the Fermi level comes out at 4.705 states/eV per cell. The calculation puts the magnetic moment at 0.598 μB/atom. For the calculated volume, the calculation gives 91.4 Å³/cell. The space-group type is No. 123.

Crystalline K2RuO2F4 at its relaxed geometry. Source: the Alexandria database, functional PBE.

The structure in POSCAR format:
```
K2RuO2F4
1.0
4.923 -3.032 0.000
4.923 3.032 0.000
-0.199 0.000 4.751
K Ru O F
2 1 2 4
Cartesian
1.519 0.000 1.402
8.127 0.000 3.348
4.923 0.000 0.000
3.462 0.000 3.552
6.184 0.000 1.198
3.957 1.472 0.975
5.690 1.472 3.775
3.957 -1.472 0.975
5.690 -1.472 3.775
```

Computed properties:
The uncorrected formation energy comes out at -1946 meV per atom. The calculation puts the magnetic moment at 0.000 μB/atom. For the calculated volume, the calculation gives 141.8 Å³/cell. The space-group type is No. 12.

Crystalline KRuO2F at its relaxed geometry. Source: the Alexandria database, functional PBE.

The structure in POSCAR format:
```
KRuO2F
1.0
4.536 0.000 0.000
0.000 4.536 0.000
0.000 0.000 4.502
K Ru O F
1 1 2 1
Cartesian
0.000 0.000 0.000
2.268 2.268 2.251
0.000 2.268 0.000
2.268 0.000 0.000
0.000 0.000 2.251
```

Computed properties:
The uncorrected formation energy comes out at 789 meV per atom. The density of states at the Fermi level comes out at 3.789 states/eV per cell. The calculation puts the magnetic moment at 1.200 μB/atom. For the calculated volume, the calculation gives 92.6 Å³/cell. The space-group type is No. 123.

Crystalline K5RuO4F2 at its relaxed geometry. Source: the Alexandria database, functional PBE.

The structure in POSCAR format:
```
K5RuO4F2
1.0
7.647 0.000 0.000
0.000 5.055 3.199
0.000 -5.055 3.199
K Ru O F
5 1 4 2
Cartesian
0.000 0.000 0.000
1.988 -1.902 3.152
1.988 1.902 3.152
5.659 -1.902 3.152
5.659 1.902 3.152
3.824 0.000 0.030
2.355 0.000 1.169
3.824 -1.458 5.274
3.824 1.458 5.274
5.292 0.000 1.169
0.000 -2.086 4.849
0.000 2.086 4.849
```

Computed properties:
The uncorrected formation energy comes out at -1745 meV per atom. The density of states at the Fermi level comes out at 6.023 states/eV per cell. The calculation puts the magnetic moment at 0.084 μB/atom. For the calculated volume, the calculation gives 247.4 Å³/cell. The space-group type is No. 38.

Crystalline KRuO2F at its relaxed geometry. Source: the Alexandria database, functional PBE.

The structure in POSCAR format:
```
KRuO2F
1.0
3.836 0.000 0.000
0.000 3.836 0.000
0.000 0.000 4.663
K Ru O F
1 1 2 1
Cartesian
0.000 0.000 0.000
1.918 1.918 2.332
0.000 1.918 2.332
1.918 0.000 2.332
1.918 1.918 0.000
```

Computed properties:
The uncorrected formation energy comes out at -1435 meV per atom. The density of states at the Fermi level comes out at 3.958 states/eV per cell. The calculation puts the magnetic moment at 0.180 μB/atom. For the calculated volume, the calculation gives 68.6 Å³/cell. The space-group type is No. 123.

Crystalline KSOF2 at its relaxed geometry. Source: the Alexandria database, functional PBE.

The structure in POSCAR format:
```
KSOF2
1.0
4.569 0.000 0.000
0.000 4.569 0.000
0.000 0.000 3.500
K S O F
1 1 1 2
Cartesian
0.000 0.000 0.000
2.285 2.285 1.750
2.285 2.285 0.000
0.000 2.285 1.750
2.285 0.000 1.750
```

Computed properties:
The uncorrected formation energy comes out at -1343 meV per atom. The density of states at the Fermi level comes out at 1.055 states/eV per cell. The excess energy over the best structure of this formula in the dataset is 0 meV/atom. The calculation puts the magnetic moment at 0.000 μB/atom. For the calculated volume, the calculation gives 73.1 Å³/cell. The space-group type is No. 123.

Crystalline K3SO4F at its relaxed geometry. Source: the Alexandria database, functional PBE.

The structure in POSCAR format:
```
K3SO4F
1.0
-3.691 3.691 5.530
3.691 -3.691 5.530
3.691 3.691 -5.530
K S O F
6 2 8 2
Cartesian
5.106 1.415 0.000
0.000 0.000 2.765
1.415 2.276 0.000
2.276 1.415 5.530
0.000 0.000 8.295
-1.415 2.276 5.530
3.691 0.000 2.765
0.000 3.691 2.765
4.549 -0.858 1.890
2.833 -0.858 3.640
2.833 0.858 1.890
4.549 0.858 3.640
-0.858 2.833 1.890
0.858 2.833 3.640
0.858 4.549 1.890
-0.858 4.549 3.640
0.000 0.000 0.000
0.000 0.000 5.530
```

Computed properties:
The uncorrected formation energy comes out at -2068 meV per atom. The density of states at the Fermi level comes out at 0.000 states/eV per cell. The excess energy over the best structure of this formula in the dataset is 0 meV/atom. The calculation puts the magnetic moment at 0.000 μB/atom. For the calculated volume, the calculation gives 301.4 Å³/cell. The space-group type is No. 140.

Crystalline KSOF2 at its relaxed geometry. Source: the Alexandria database, functional PBE.

The structure in POSCAR format:
```
KSOF2
1.0
4.851 0.000 0.000
0.000 4.851 0.000
0.000 0.000 5.009
K S O F
1 1 1 2
Cartesian
0.000 0.000 0.000
2.426 2.426 2.505
0.000 0.000 2.505
0.000 2.426 0.000
2.426 0.000 0.000
```

Computed properties:
The uncorrected formation energy comes out at 101 meV per atom. The density of states at the Fermi level comes out at 12.248 states/eV per cell. The excess energy over the best structure of this formula in the dataset is 1444 meV/atom. The calculation puts the magnetic moment at 1.000 μB/atom. For the calculated volume, the calculation gives 117.9 Å³/cell. The space-group type is No. 123.

Crystalline K3SO4F at its relaxed geometry. Source: the Alexandria database, functional PBE.

The structure in POSCAR format:
```
K3SO4F
1.0
5.469 0.000 0.000
0.000 5.469 0.000
0.000 0.000 5.469
K S O F
3 1 4 1
Cartesian
0.000 0.000 2.734
0.000 2.734 0.000
2.734 0.000 0.000
2.734 2.734 2.734
1.870 1.870 3.598
1.870 3.598 1.870
3.598 1.870 1.870
3.598 3.598 3.598
0.000 0.000 0.000
```

Computed properties:
The uncorrected formation energy comes out at -2059 meV per atom. The density of states at the Fermi level comes out at 0.000 states/eV per cell. The excess energy over the best structure of this formula in the dataset is 10 meV/atom. The calculation puts the magnetic moment at 0.020 μB/atom. For the calculated volume, the calculation gives 163.6 Å³/cell. The space-group type is No. 215.

Crystalline K5SO4F2 at its relaxed geometry. Source: the Alexandria database, functional PBE.

The structure in POSCAR format:
```
K5SO4F2
1.0
7.625 0.000 0.000
0.000 5.283 3.489
0.000 -5.283 3.489
K S O F
5 1 4 2
Cartesian
0.000 0.000 0.000
1.835 -2.031 2.961
1.835 2.031 2.961
5.790 -2.031 2.961
5.790 2.031 2.961
3.812 0.000 0.317
2.587 0.000 1.193
3.812 -4.044 2.961
3.812 4.044 2.961
5.038 0.000 1.193
0.000 -2.939 4.620
0.000 2.939 4.620
```

Computed properties:
The uncorrected formation energy comes out at -1897 meV per atom. The density of states at the Fermi level comes out at 1.918 states/eV per cell. The calculation puts the magnetic moment at 0.047 μB/atom. For the calculated volume, the calculation gives 281.1 Å³/cell. The space-group type is No. 38.

Crystalline KSnSO4F at its relaxed geometry. Source: the Alexandria database, functional PBE.

The structure in POSCAR format:
```
KSnSO4F
1.0
6.314 0.000 0.000
-2.440 6.792 0.000
-1.662 -2.854 6.565
K Sn S O F
2 2 2 8 2
Cartesian
0.167 1.940 0.824
2.045 1.997 5.742
-1.201 4.340 4.640
3.413 -0.403 1.926
-0.884 0.611 4.333
3.096 3.327 2.233
-1.895 3.566 1.631
-0.924 0.238 2.859
-0.470 2.048 4.429
0.171 -0.204 5.007
2.040 4.142 1.558
2.682 1.890 2.136
3.135 3.699 3.706
4.107 0.372 4.935
-2.309 3.830 6.363
4.521 0.108 0.203
```

Computed properties:
The uncorrected formation energy comes out at -1798 meV per atom. The density of states at the Fermi level comes out at 0.000 states/eV per cell. The calculation puts the magnetic moment at 0.000 μB/atom. For the calculated volume, the calculation gives 281.5 Å³/cell. The space-group type is No. 2.

Crystalline KSbOF2 at its relaxed geometry. Source: the Alexandria database, functional PBE.

The structure in POSCAR format:
```
KSbOF2
1.0
4.637 0.000 0.000
0.000 4.637 0.000
0.000 0.000 4.275
K Sb O F
1 1 1 2
Cartesian
0.000 0.000 0.000
2.318 2.318 2.137
2.318 2.318 0.000
0.000 2.318 2.137
2.318 0.000 2.137
```

Computed properties:
The uncorrected formation energy comes out at -1987 meV per atom. The density of states at the Fermi level comes out at 0.014 states/eV per cell. The excess energy over the best structure of this formula in the dataset is 0 meV/atom. The calculation puts the magnetic moment at 0.000 μB/atom. For the calculated volume, the calculation gives 91.9 Å³/cell. The space-group type is No. 123.

Crystalline KSbOF2 at its relaxed geometry. Source: the Alexandria database, functional PBE.

The structure in POSCAR format:
```
KSbOF2
1.0
4.458 0.000 0.000
0.000 4.458 0.000
0.000 0.000 4.715
K Sb O F
1 1 1 2
Cartesian
0.000 0.000 0.000
2.229 2.229 2.358
0.000 0.000 2.358
0.000 2.229 0.000
2.229 0.000 0.000
```

Computed properties:
The uncorrected formation energy comes out at -580 meV per atom. The density of states at the Fermi level comes out at 3.212 states/eV per cell. The excess energy over the best structure of this formula in the dataset is 1407 meV/atom. The calculation puts the magnetic moment at 0.000 μB/atom. For the calculated volume, the calculation gives 93.7 Å³/cell. The space-group type is No. 123.

Crystalline K5SbO4F2 at its relaxed geometry. Source: the Alexandria database, functional PBE.

The structure in POSCAR format:
```
K5SbO4F2
1.0
7.692 0.000 0.000
0.000 5.221 3.182
0.000 -5.221 3.182
K Sb O F
5 1 4 2
Cartesian
0.000 0.000 0.000
1.976 -1.936 3.149
1.976 1.936 3.149
5.716 -1.936 3.149
5.716 1.936 3.149
3.846 0.000 0.067
2.310 0.000 1.215
3.846 -1.549 5.302
3.846 1.549 5.302
5.382 0.000 1.215
0.000 -2.107 4.860
0.000 2.107 4.860
```

Computed properties:
The uncorrected formation energy comes out at -1957 meV per atom. The density of states at the Fermi level comes out at 0.000 states/eV per cell. The calculation puts the magnetic moment at 0.015 μB/atom. For the calculated volume, the calculation gives 255.6 Å³/cell. The space-group type is No. 38.

Crystalline K2SbO2F4 at its relaxed geometry. Source: the Alexandria database, functional PBE.

The structure in POSCAR format:
```
K2SbO2F4
1.0
5.243 -2.939 0.000
5.243 2.939 0.000
-0.250 0.000 4.907
K Sb O F
2 1 2 4
Cartesian
1.684 0.000 1.572
8.552 0.000 3.335
5.243 0.000 0.000
3.519 0.000 3.683
6.718 0.000 1.225
4.318 1.425 1.041
5.919 1.425 3.867
4.318 -1.425 1.041
5.919 -1.425 3.867
```

Computed properties:
The uncorrected formation energy comes out at -2056 meV per atom. The density of states at the Fermi level comes out at 3.539 states/eV per cell. The calculation puts the magnetic moment at 0.112 μB/atom. For the calculated volume, the calculation gives 151.3 Å³/cell. The space-group type is No. 12.

Crystalline K2ScOF3 at its relaxed geometry. Source: the Alexandria database, functional PBE.

The structure in POSCAR format:
```
K2ScOF3
1.0
-2.026 2.123 6.759
2.026 -2.123 6.759
2.026 2.123 -6.759
K Sc O F
2 1 1 3
Cartesian
0.000 0.000 1.977
0.000 0.000 11.541
0.000 0.000 6.759
0.000 2.123 0.000
2.026 0.000 0.000
0.000 0.000 4.641
0.000 0.000 8.878
```

Computed properties:
The uncorrected formation energy comes out at -3138 meV per atom. The density of states at the Fermi level comes out at 0.000 states/eV per cell. The calculation puts the magnetic moment at 0.000 μB/atom. For the calculated volume, the calculation gives 116.3 Å³/cell. The space-group type is No. 71.

Crystalline KScO2F at its relaxed geometry. Source: the Alexandria database, functional PBE.

The structure in POSCAR format:
```
KScO2F
1.0
4.135 0.000 0.000
0.000 4.135 0.000
0.000 0.000 4.323
K Sc O F
1 1 2 1
Cartesian
0.000 0.000 0.000
2.068 2.068 2.162
0.000 2.068 2.162
2.068 0.000 2.162
2.068 2.068 0.000
```

Computed properties:
The uncorrected formation energy comes out at -2630 meV per atom. The density of states at the Fermi level comes out at 0.949 states/eV per cell. The calculation puts the magnetic moment at 0.200 μB/atom. For the calculated volume, the calculation gives 73.9 Å³/cell. The space-group type is No. 123.